# 1
First-principles (PBE+U) data for Cu2NiO4 after structural relaxation, as listed in Alexandria via LeMat-Bulk.

CIF file:
```
data_Cu2NiO4
_chemical_formula_sum 'Cu4 Ni2 O8'
_cell_length_a 6.462
_cell_length_b 6.462
_cell_length_c 6.462
_cell_angle_alpha 129.49
_cell_angle_beta 129.49
_cell_angle_gamma 74.22
_space_group_name_H-M_alt 'P 1'
_space_group_IT_number 1
loop_
_space_group_symop_operation_xyz
'x,y,z'
loop_
_atom_site_label
_atom_site_fract_x
_atom_site_fract_y
_atom_site_fract_z
Cu1 0.000 0.000 0.000
Cu2 0.000 0.000 0.500
Cu3 0.000 0.500 0.000
Cu4 0.500 0.000 0.500
Ni1 0.375 0.625 0.750
Ni2 0.625 0.375 0.250
O1 0.216 0.736 0.480
O2 0.243 0.264 0.980
O3 0.264 0.243 0.480
O4 0.264 0.784 0.020
O5 0.736 0.216 0.980
O6 0.736 0.757 0.520
O7 0.757 0.736 0.020
O8 0.784 0.264 0.520
```

Values from the calculation:
Magnetic moment ... 4.00 μB per cell
Relative energy among the computed polymorphs ... 0.52 eV per formula unit

=====

# 2
First-principles (PBE+U) data for CuNiO3 after structural relaxation, as listed in Alexandria via LeMat-Bulk.

CIF file:
```
data_CuNiO3
_chemical_formula_sum 'Cu1 Ni1 O3'
_cell_length_a 3.673
_cell_length_b 3.673
_cell_length_c 3.673
_cell_angle_alpha 90.00
_cell_angle_beta 90.00
_cell_angle_gamma 90.00
_space_group_name_H-M_alt 'P 1'
_space_group_IT_number 1
loop_
_space_group_symop_operation_xyz
'x,y,z'
loop_
_atom_site_label
_atom_site_fract_x
_atom_site_fract_y
_atom_site_fract_z
Cu1 0.000 0.000 0.000
Ni1 0.500 0.500 0.500
O1 0.000 0.000 0.500
O2 0.000 0.500 0.000
O3 0.500 0.000 0.000
```

Values from the calculation:
E_tot ... -3.97 eV/atom
Magnetic moment ... 2.66 μB per cell

=====

# 3
First-principles (PBE+U) data for CuNi3O4 after structural relaxation, as listed in Alexandria via LeMat-Bulk.

CIF file:
```
data_CuNi3O4
_chemical_formula_sum 'Cu1 Ni3 O4'
_cell_length_a 9.944
_cell_length_b 9.944
_cell_length_c 9.944
_cell_angle_alpha 17.26
_cell_angle_beta 17.26
_cell_angle_gamma 17.26
_space_group_name_H-M_alt 'P 1'
_space_group_IT_number 1
loop_
_space_group_symop_operation_xyz
'x,y,z'
loop_
_atom_site_label
_atom_site_fract_x
_atom_site_fract_y
_atom_site_fract_z
Cu1 0.000 0.000 0.000
Ni1 0.250 0.250 0.250
Ni2 0.500 0.500 0.500
Ni3 0.750 0.750 0.750
O1 0.125 0.125 0.125
O2 0.377 0.377 0.377
O3 0.623 0.623 0.623
O4 0.875 0.875 0.875
```

Values from the calculation:
Magnetic moment ... 5.00 μB per cell
Relative energy among the computed polymorphs ... 0.09 eV per formula unit

=====

# 4
First-principles (PBE+U) data for CuNiO2 after structural relaxation, as listed in Alexandria via LeMat-Bulk.

CIF file:
```
data_CuNiO2
_chemical_formula_sum 'Cu1 Ni1 O2'
_cell_length_a 3.106
_cell_length_b 3.106
_cell_length_c 5.613
_cell_angle_alpha 112.91
_cell_angle_beta 112.91
_cell_angle_gamma 54.61
_space_group_name_H-M_alt 'P 1'
_space_group_IT_number 1
loop_
_space_group_symop_operation_xyz
'x,y,z'
loop_
_atom_site_label
_atom_site_fract_x
_atom_site_fract_y
_atom_site_fract_z
Cu1 0.000 0.000 0.000
Ni1 0.000 0.000 0.500
O1 0.413 0.413 0.729
O2 0.587 0.587 0.271
```

Values from the calculation:
E_tot ... -4.92 eV/atom
Magnetic moment ... 1.02 μB per cell

=====

# 5
First-principles (PBE+U) data for CuNiOs2O8 after structural relaxation, as listed in Alexandria via LeMat-Bulk.

CIF file:
```
data_CuNiOs2O8
_chemical_formula_sum 'Cu1 Ni1 Os2 O8'
_cell_length_a 6.026
_cell_length_b 6.026
_cell_length_c 6.026
_cell_angle_alpha 115.84
_cell_angle_beta 115.84
_cell_angle_gamma 97.38
_space_group_name_H-M_alt 'P 1'
_space_group_IT_number 1
loop_
_space_group_symop_operation_xyz
'x,y,z'
loop_
_atom_site_label
_atom_site_fract_x
_atom_site_fract_y
_atom_site_fract_z
Cu1 0.000 0.000 0.000
Ni1 0.250 0.750 0.500
Os1 0.500 0.500 0.000
Os2 0.750 0.250 0.500
O1 0.367 0.144 0.776
O2 0.367 0.591 0.224
O3 0.393 0.119 0.273
O4 0.409 0.633 0.776
O5 0.846 0.119 0.727
O6 0.856 0.633 0.224
O7 0.881 0.154 0.273
O8 0.881 0.607 0.727
```

Values from the calculation:
E_tot ... -6.38 eV/atom
Magnetic moment ... 3.00 μB per cell

=====

# 6
First-principles (PBE+U) data for CuNi2P2O8 after structural relaxation, as listed in Alexandria via LeMat-Bulk.

CIF file:
```
data_CuNi2P2O8
_chemical_formula_sum 'Cu2 Ni4 P4 O16'
_cell_length_a 4.735
_cell_length_b 9.554
_cell_length_c 8.007
_cell_angle_alpha 90.00
_cell_angle_beta 125.89
_cell_angle_gamma 90.00
_space_group_name_H-M_alt 'P 1'
_space_group_IT_number 1
loop_
_space_group_symop_operation_xyz
'x,y,z'
loop_
_atom_site_label
_atom_site_fract_x
_atom_site_fract_y
_atom_site_fract_z
Cu1 0.000 0.000 0.000
Cu2 0.000 0.500 0.500
Ni1 0.173 0.126 0.648
Ni2 0.173 0.374 0.148
Ni3 0.827 0.626 0.852
Ni4 0.827 0.874 0.352
P1 0.339 0.676 0.349
P2 0.339 0.824 0.849
P3 0.661 0.176 0.151
P4 0.661 0.324 0.651
O1 0.083 0.583 0.159
O2 0.083 0.917 0.659
O3 0.215 0.672 0.824
O4 0.215 0.828 0.324
O5 0.300 0.175 0.116
O6 0.300 0.325 0.616
O7 0.386 0.612 0.545
O8 0.386 0.888 0.045
O9 0.614 0.112 0.955
O10 0.614 0.388 0.455
O11 0.700 0.675 0.384
O12 0.700 0.825 0.884
O13 0.785 0.172 0.676
O14 0.785 0.328 0.176
O15 0.917 0.083 0.341
O16 0.917 0.417 0.841
```

Values from the calculation:
E_tot ... -6.25 eV/atom
Magnetic moment ... 10.00 μB per cell

=====

# 7
First-principles (PBE+U) data for Ti3Cu2NiP6O24 after structural relaxation, as listed in Alexandria via LeMat-Bulk.

CIF file:
```
data_Ti3Cu2NiP6O24
_chemical_formula_sum 'Ti3 Cu2 Ni1 P6 O24'
_cell_length_a 8.533
_cell_length_b 8.533
_cell_length_c 8.533
_cell_angle_alpha 60.70
_cell_angle_beta 60.70
_cell_angle_gamma 60.70
_space_group_name_H-M_alt 'P 1'
_space_group_IT_number 1
loop_
_space_group_symop_operation_xyz
'x,y,z'
loop_
_atom_site_label
_atom_site_fract_x
_atom_site_fract_y
_atom_site_fract_z
Ti1 0.000 0.000 0.000
Ti2 0.213 0.213 0.213
Ti3 0.711 0.711 0.711
Cu1 0.357 0.357 0.357
Cu2 0.857 0.857 0.857
Ni1 0.497 0.497 0.497
P1 0.105 0.812 0.400
P2 0.311 0.603 0.898
P3 0.400 0.105 0.812
P4 0.603 0.898 0.311
P5 0.812 0.400 0.105
P6 0.898 0.311 0.603
O1 0.025 0.871 0.244
O2 0.094 0.307 0.438
O3 0.113 0.763 0.933
O4 0.168 0.976 0.355
O5 0.244 0.025 0.871
O6 0.265 0.621 0.401
O7 0.307 0.438 0.094
O8 0.339 0.547 0.743
O9 0.355 0.168 0.976
O10 0.401 0.265 0.621
O11 0.438 0.094 0.307
O12 0.475 0.669 0.851
O13 0.547 0.743 0.339
O14 0.597 0.943 0.798
O15 0.621 0.401 0.265
O16 0.669 0.851 0.475
O17 0.743 0.339 0.547
O18 0.763 0.933 0.113
O19 0.798 0.597 0.943
O20 0.851 0.475 0.669
O21 0.871 0.244 0.025
O22 0.933 0.113 0.763
O23 0.943 0.798 0.597
O24 0.976 0.355 0.168
```

Values from the calculation:
E_tot ... -7.32 eV/atom
Magnetic moment ... 4.03 μB per cell

=====

# 8
First-principles (PBE+U) data for V3Cu2NiP6O24 after structural relaxation, as listed in Alexandria via LeMat-Bulk.

CIF file:
```
data_V3Cu2NiP6O24
_chemical_formula_sum 'V3 Cu2 Ni1 P6 O24'
_cell_length_a 8.530
_cell_length_b 8.530
_cell_length_c 8.530
_cell_angle_alpha 60.43
_cell_angle_beta 60.43
_cell_angle_gamma 60.43
_space_group_name_H-M_alt 'P 1'
_space_group_IT_number 1
loop_
_space_group_symop_operation_xyz
'x,y,z'
loop_
_atom_site_label
_atom_site_fract_x
_atom_site_fract_y
_atom_site_fract_z
V1 0.000 0.000 0.000
V2 0.215 0.215 0.215
V3 0.502 0.502 0.502
Cu1 0.357 0.357 0.357
Cu2 0.856 0.856 0.856
Ni1 0.718 0.718 0.718
P1 0.109 0.817 0.400
P2 0.318 0.610 0.901
P3 0.400 0.109 0.817
P4 0.610 0.901 0.318
P5 0.817 0.400 0.109
P6 0.901 0.318 0.610
O1 0.049 0.854 0.237
O2 0.100 0.276 0.446
O3 0.122 0.777 0.912
O4 0.188 0.977 0.337
O5 0.237 0.049 0.854
O6 0.274 0.622 0.417
O7 0.276 0.446 0.100
O8 0.337 0.188 0.977
O9 0.356 0.548 0.739
O10 0.417 0.274 0.622
O11 0.446 0.100 0.276
O12 0.477 0.653 0.882
O13 0.548 0.739 0.356
O14 0.588 0.948 0.821
O15 0.622 0.417 0.274
O16 0.653 0.882 0.477
O17 0.739 0.356 0.548
O18 0.777 0.912 0.122
O19 0.821 0.588 0.948
O20 0.854 0.237 0.049
O21 0.882 0.477 0.653
O22 0.912 0.122 0.777
O23 0.948 0.821 0.588
O24 0.977 0.337 0.188
```

Values from the calculation:
E_tot ... -7.01 eV/atom
Magnetic moment ... 5.00 μB per cell